A plane-wave DFT calculation with PBE was carried out for an optimized crystal structure of NbRuSe3.

abc: 3.486 6.119 12.040
angles: 104.72 90.00 90.00
Positions (direct):
Nb1 0.250 0.119 0.657
Nb2 0.750 0.462 0.343
Ru1 0.250 0.743 0.262
Ru2 0.750 0.481 0.738
Se1 0.750 0.871 0.735
Se2 0.750 0.537 0.140
Se3 0.750 0.272 0.534
Se4 0.250 0.397 0.860
Se5 0.250 0.137 0.265
Se6 0.250 0.738 0.466

Results
density: 5.760 g cm⁻³
Fermi-level density of states: 0.631 states/eV/atom
energy above the lowest structure with this stoichiometry: 0.00 kJ per mole of atoms
formation energy without anion corrections: -0.508 eV per atom
raw total energy: -64.7 eV/cell